Fe2Re | GGA-PBE | relaxed

## Properties
Formation energy   0.36 eV per atom
Final energy   -113.17 eV/cell

The structure in CIF format:
```
data_Fe2Re
_space_group_name_H-M_alt 'I m m a'
_space_group_IT_number 74
_space_group_name_Hall '-I 2b 2'
_cell_length_a 2.590
_cell_length_b 3.959
_cell_length_c 14.782
_cell_angle_alpha 90.00
_cell_angle_beta 90.00
_cell_angle_gamma 90.00
loop_
_atom_site_label
_atom_site_fract_x
_atom_site_fract_y
_atom_site_fract_z
Fe1 0.000 0.250 0.033
Fe2 0.000 0.250 0.188
Re1 0.000 0.250 0.621
```

***

CdP2Os | GGA-PBE | relaxed

## Properties
Energy relative to the lowest polymorph listed for this composition   660 meV/atom
Formation energy   0.66 eV per atom
Final energy   -40.65 eV/cell

The structure in CIF format:
```
data_CdP2Os
_space_group_name_H-M_alt 'C 1 2/m 1'
_space_group_IT_number 12
_space_group_name_Hall '-C 2y'
_cell_length_a 5.632
_cell_length_b 6.970
_cell_length_c 3.177
_cell_angle_alpha 90.00
_cell_angle_beta 90.23
_cell_angle_gamma 90.00
loop_
_atom_site_label
_atom_site_fract_x
_atom_site_fract_y
_atom_site_fract_z
Cd1 0.000 0.000 0.000
P1 0.250 0.250 0.500
Os1 0.000 0.500 0.000
```

***

Tl5SnHg | GGA-PBE | relaxed

## Properties
Energy relative to the lowest polymorph listed for this composition   0 meV/atom
Formation energy   0.03 eV per atom
Final energy   -63.68 eV/cell

The structure in CIF format:
```
data_Tl5SnHg
_space_group_name_H-M_alt 'C 1 2/c 1'
_space_group_IT_number 15
_space_group_name_Hall '-C 2yc'
_cell_length_a 12.435
_cell_length_b 11.371
_cell_length_c 6.262
_cell_angle_alpha 90.00
_cell_angle_beta 102.30
_cell_angle_gamma 90.00
loop_
_atom_site_label
_atom_site_fract_x
_atom_site_fract_y
_atom_site_fract_z
Tl1 0.000 0.234 0.250
Tl2 0.145 0.295 0.826
Tl3 0.234 0.071 0.553
Sn1 0.000 0.054 0.750
Hg1 0.000 0.500 0.000
```

***

Ac2BeGa4Pt3 | GGA-PBE | relaxed

## Properties
Formation energy   -0.79 eV per atom
Final energy   -50.10 eV/cell

The structure in CIF format:
```
data_Ac2BeGa4Pt3
_space_group_name_H-M_alt 'P -4 m 2'
_space_group_IT_number 115
_space_group_name_Hall 'P -4 -2'
_cell_length_a 4.394
_cell_length_b 4.394
_cell_length_c 10.561
_cell_angle_alpha 90.00
_cell_angle_beta 90.00
_cell_angle_gamma 90.00
loop_
_atom_site_label
_atom_site_fract_x
_atom_site_fract_y
_atom_site_fract_z
Ac1 0.000 0.500 0.246
Be1 0.500 0.500 0.000
Ga1 0.000 0.000 0.500
Ga2 0.000 0.500 0.879
Ga3 0.500 0.500 0.500
Pt1 0.000 0.000 0.000
Pt2 0.000 0.500 0.632
```

***

NiRuSe2 | GGA-PBE | relaxed

## Properties
Energy relative to the lowest polymorph listed for this composition   661 meV/atom
Final energy   -40.31 eV/cell
Formation energy without anion corrections   0.47 eV/atom

The structure in CIF format:
```
data_NiRuSe2
_space_group_name_H-M_alt 'C m m m'
_space_group_IT_number 65
_space_group_name_Hall '-C 2 2'
_cell_length_a 3.076
_cell_length_b 5.558
_cell_length_c 7.746
_cell_angle_alpha 90.00
_cell_angle_beta 90.00
_cell_angle_gamma 90.00
loop_
_atom_site_label
_atom_site_fract_x
_atom_site_fract_y
_atom_site_fract_z
Ni1 0.000 0.000 0.000
Ru1 0.000 0.000 0.500
Se1 0.000 0.500 0.242
```

***

K2YTa | GGA-PBE | relaxed

## Properties
Energy relative to the lowest polymorph listed for this composition   552 meV/atom
Formation energy   1.24 eV per atom
Final energy   -15.56 eV/cell

The structure in CIF format:
```
data_K2YTa
_space_group_name_H-M_alt 'P 4/m m m'
_space_group_IT_number 123
_space_group_name_Hall '-P 4 2'
_cell_length_a 4.566
_cell_length_b 4.566
_cell_length_c 6.654
_cell_angle_alpha 90.00
_cell_angle_beta 90.00
_cell_angle_gamma 90.00
loop_
_atom_site_label
_atom_site_fract_x
_atom_site_fract_y
_atom_site_fract_z
K1 0.000 0.500 0.000
Y1 0.000 0.000 0.500
Ta1 0.500 0.500 0.500
```

***

Ta3AlC | GGA-PBE | relaxed

## Properties
Energy relative to the lowest polymorph listed for this composition   0 meV/atom
Formation energy   -0.45 eV per atom
Final energy   -101.58 eV/cell

The structure in CIF format:
```
data_Ta3AlC
_space_group_name_H-M_alt 'P 1 21/m 1'
_space_group_IT_number 11
_space_group_name_Hall '-P 2yb'
_cell_length_a 3.198
_cell_length_b 8.536
_cell_length_c 5.726
_cell_angle_alpha 90.00
_cell_angle_beta 106.15
_cell_angle_gamma 90.00
loop_
_atom_site_label
_atom_site_fract_x
_atom_site_fract_y
_atom_site_fract_z
Ta1 0.045 0.250 0.088
Ta2 0.370 0.044 0.735
Al1 0.255 0.750 0.511
C1 0.000 0.000 0.000
```

***

Sb3Au2 | GGA-PBE | relaxed

## Properties
Final energy   -18.73 eV/cell
Formation energy without anion corrections   0.04 eV/atom

The structure in CIF format:
```
data_Sb3Au2
_space_group_name_H-M_alt 'P -3 m 1'
_space_group_IT_number 164
_space_group_name_Hall '-P 3 2"'
_cell_length_a 4.7105
_cell_length_b 4.7105
_cell_length_c 6.7303
_cell_angle_alpha 90.00
_cell_angle_beta 90.00
_cell_angle_gamma 120.00
loop_
_atom_site_label
_atom_site_fract_x
_atom_site_fract_y
_atom_site_fract_z
Sb1 0.0000 0.0000 0.0000
Sb2 0.3333 0.6667 0.3260
Au1 0.3333 0.6667 0.7738
```

***

Mg2CuAs | GGA-PBE | relaxed

## Properties
Formation energy   -0.11 eV per atom
Final energy   -12.37 eV/cell

The structure in CIF format:
```
data_Mg2CuAs
_space_group_name_H-M_alt 'P 4 m m'
_space_group_IT_number 99
_space_group_name_Hall 'P 4 -2'
_cell_length_a 3.655
_cell_length_b 3.655
_cell_length_c 5.477
_cell_angle_alpha 90.00
_cell_angle_beta 90.00
_cell_angle_gamma 90.00
loop_
_atom_site_label
_atom_site_fract_x
_atom_site_fract_y
_atom_site_fract_z
Mg1 0.000 0.000 0.000
Mg2 0.500 0.500 0.317
Cu1 0.500 0.500 0.810
As1 0.000 0.000 0.519
```

***

Rb2Sr2O3 | GGA-PBE | relaxed

## Properties
Final energy   -66.92 eV/cell
Formation energy without anion corrections   -1.90 eV/atom

The structure in CIF format:
```
data_Rb2Sr2O3
_space_group_name_H-M_alt 'C 1 2/m 1'
_space_group_IT_number 12
_space_group_name_Hall '-C 2y'
_cell_length_a 12.718
_cell_length_b 3.699
_cell_length_c 7.065
_cell_angle_alpha 90.00
_cell_angle_beta 97.07
_cell_angle_gamma 90.00
loop_
_atom_site_label
_atom_site_fract_x
_atom_site_fract_y
_atom_site_fract_z
Rb1 0.140 0.000 0.377
Sr1 0.133 0.500 0.928
O1 0.000 0.000 0.000
O2 0.235 0.000 0.784
```

***

Ce3NiIr2 | GGA-PBE | relaxed

## Properties
Energy relative to the lowest polymorph listed for this composition   0 meV/atom
Formation energy   -0.62 eV per atom
Final energy   -180.17 eV/cell

The structure in CIF format:
```
data_Ce3NiIr2
_space_group_name_H-M_alt 'P n m a'
_space_group_IT_number 62
_space_group_name_Hall '-P 2ac 2n'
_cell_length_a 11.701
_cell_length_b 4.005
_cell_length_c 11.271
_cell_angle_alpha 90.00
_cell_angle_beta 90.00
_cell_angle_gamma 90.00
loop_
_atom_site_label
_atom_site_fract_x
_atom_site_fract_y
_atom_site_fract_z
Ce1 0.057 0.250 0.130
Ce2 0.119 0.750 0.567
Ce3 0.212 0.250 0.819
Ni1 0.129 0.250 0.383
Ir1 0.003 0.750 0.306
Ir2 0.172 0.750 0.997
```

***

Gd2CuSe | GGA-PBE | relaxed

## Properties
Energy relative to the lowest polymorph listed for this composition   0 meV/atom
Final energy   -118.48 eV/cell
Formation energy without anion corrections   -0.94 eV/atom

The structure in CIF format:
```
data_Gd2CuSe
_space_group_name_H-M_alt 'R -3 m'
_space_group_IT_number 166
_space_group_name_Hall '-R 3 2"'
_cell_length_a 4.0132
_cell_length_b 4.0132
_cell_length_c 21.3055
_cell_angle_alpha 90.00
_cell_angle_beta 90.00
_cell_angle_gamma 120.00
loop_
_atom_site_label
_atom_site_fract_x
_atom_site_fract_y
_atom_site_fract_z
Gd1 0.0000 0.0000 0.2480
Cu1 0.0000 0.0000 0.5000
Se1 0.0000 0.0000 0.0000
```